DFT (PBE) results for a relaxed YSb2IF crystal.

Cell and atoms, written as extended XYZ:
```
5
Lattice="5.869 0.000 0.000 0.000 5.869 0.000 0.000 0.000 5.818" Properties=species:S:1:pos:R:3 pbc="T T T"
Y 0.000 0.000 0.000
Sb 0.000 2.934 0.000
Sb 2.934 0.000 0.000
I 0.000 0.000 2.909
F 2.934 2.934 2.909
```

Results
* formation energy (no corrections): -0.11 eV/atom
* excess energy over the best structure of this formula in the dataset: 2.69 eV per formula unit
* mass density: 3.96 Mg/m³

DFT (PBE) results for a relaxed YSbI2F crystal.

Cell and atoms, written as extended XYZ:
```
5
Lattice="5.703 0.000 0.000 0.000 5.703 0.000 0.000 0.000 4.345" Properties=species:S:1:pos:R:3 pbc="T T T"
Y 0.000 0.000 0.000
Sb 2.852 2.852 0.000
I 0.000 2.852 2.172
I 2.852 0.000 2.172
F 2.852 2.852 2.172
```

Results
* formation energy (no corrections): -0.60 eV/atom
* excess energy over the best structure of this formula in the dataset: 0.00 eV per formula unit
* mass density: 5.68 Mg/m³